Entry 1:
The following is a DFT calculation (PBE) of crystalline Cd2In3Sn at its relaxed geometry.

M_tot (Bohr magnetons per cell): 0.00
Energy relative to the lowest polymorph listed for this composition (meV per atom): 12
SG: C2/c

abc: 5.5053 5.5053 10.9122
angles: 91.05 91.05 105.54
Element x y z (fractional)
Cd  0.1049  0.6371  0.8751
Cd  0.3629  0.8951  0.6249
Cd  0.6371  0.1049  0.3751
Cd  0.8951  0.3629  0.1249
In  0.0847  0.9153  0.2500
In  0.1874  0.3234  0.4935
In  0.3234  0.1874  0.9935
In  0.6766  0.8126  0.0065
In  0.8126  0.6766  0.5065
In  0.9153  0.0847  0.7500
Sn  0.4596  0.5404  0.2500
Sn  0.5404  0.4596  0.7500


Entry 2:
The following is a DFT calculation (PBE) of crystalline PmPaIrPt at its relaxed geometry.

M_tot (Bohr magnetons per cell): 0.45
Energy relative to the lowest polymorph listed for this composition (meV per atom): 260
SG: F-43m

abc: 4.9736 4.9736 4.9736
angles: 60.00 60.00 60.00
Element x y z (fractional)
Pm  0.0000  0.0000  0.0000
Pa  0.5000  0.5000  0.5000
Ir  0.2500  0.2500  0.2500
Pt  0.7500  0.7500  0.7500


| no. | ΔH_f (0 K) (eV per atom) |
| --- | --- |
| 1 | 0.042 |
| 2 | -0.717 |